1.
Below is a geometry-optimized EuHfPd2 structure, with properties calculated at the PBE level.

Its volume is 82 Å³ per cell. The density comes out at 11.025 g/cm³. The value obtained for the formation energy is -2.1 eV/f.u.

```
data_EuHfPd2
_chemical_formula_sum 'Eu1 Hf1 Pd2'
_space_group_name_H-M_alt 'P 4/m m m'
_space_group_IT_number 123
_space_group_name_Hall '-P 4 2'
_cell_length_a 5.014
_cell_length_b 5.014
_cell_length_c 3.255
_cell_angle_alpha 90.00
_cell_angle_beta 90.00
_cell_angle_gamma 90.00
loop_
_atom_site_label
_atom_site_fract_x
_atom_site_fract_y
_atom_site_fract_z
Eu1 0.000 0.000 0.000
Hf1 0.500 0.500 0.000
Pd1 0.000 0.500 0.500
```


2.
Below is a geometry-optimized Ba2SrTa structure, with properties calculated at the PBE level.

Its volume is 475 Å³ per cell. The density comes out at 5.699 g/cm³. The value obtained for the formation energy is 3.6 eV/f.u.

```
data_Ba2SrTa
_chemical_formula_sum 'Ba6 Sr3 Ta3'
_space_group_name_H-M_alt 'R -3 m'
_space_group_IT_number 166
_space_group_name_Hall '-R 3 2"'
_cell_length_a 3.7649
_cell_length_b 3.7649
_cell_length_c 38.6824
_cell_angle_alpha 90.00
_cell_angle_beta 90.00
_cell_angle_gamma 120.00
loop_
_atom_site_label
_atom_site_fract_x
_atom_site_fract_y
_atom_site_fract_z
Ba1 0.0000 0.0000 0.2354
Sr1 0.0000 0.0000 0.0000
Ta1 0.0000 0.0000 0.5000
```


3.
Below is a geometry-optimized PuCrSb2 structure, with properties calculated at the PBE level.

Its volume is 299 Å³ per cell. Its uncorrected formation energy is -0.871 eV per formula unit. The density comes out at 8.994 g/cm³.

```
data_PuCrSb2
_chemical_formula_sum 'Pu3 Cr3 Sb6'
_space_group_name_H-M_alt 'R -3 m'
_space_group_IT_number 166
_space_group_name_Hall '-R 3 2"'
_cell_length_a 4.2732
_cell_length_b 4.2732
_cell_length_c 18.8965
_cell_angle_alpha 90.00
_cell_angle_beta 90.00
_cell_angle_gamma 120.00
loop_
_atom_site_label
_atom_site_fract_x
_atom_site_fract_y
_atom_site_fract_z
Pu1 0.0000 0.0000 0.0000
Cr1 0.0000 0.0000 0.5000
Sb1 0.0000 0.0000 0.2346
```


4.
Below is a geometry-optimized YHCI2 structure, with properties calculated at the PBE level.

Its volume is 105 Å³ per cell. The density comes out at 5.619 g/cm³. The uncorrected energy is -0.2622 Ry per atom.

```
data_YHCI2
_chemical_formula_sum 'Y1 H1 C1 I2'
_space_group_name_H-M_alt 'P 4/m m m'
_space_group_IT_number 123
_space_group_name_Hall '-P 4 2'
_cell_length_a 5.519
_cell_length_b 5.519
_cell_length_c 3.451
_cell_angle_alpha 90.00
_cell_angle_beta 90.00
_cell_angle_gamma 90.00
loop_
_atom_site_label
_atom_site_fract_x
_atom_site_fract_y
_atom_site_fract_z
Y1 0.000 0.000 0.000
H1 0.500 0.500 0.500
C1 0.500 0.500 0.000
I1 0.000 0.500 0.500
```


5.
Below is a geometry-optimized SmCd6Hg6 structure, with properties calculated at the PBE level.

Its volume is 621 Å³ per cell. The density comes out at 10.841 g/cm³. The value obtained for the formation energy is -0.9 eV/f.u.

```
data_SmCd6Hg6
_chemical_formula_sum 'Sm2 Cd12 Hg12'
_space_group_name_H-M_alt 'I m m m'
_space_group_IT_number 71
_space_group_name_Hall '-I 2 2'
_cell_length_a 6.247
_cell_length_b 9.886
_cell_length_c 10.061
_cell_angle_alpha 90.00
_cell_angle_beta 90.00
_cell_angle_gamma 90.00
loop_
_atom_site_label
_atom_site_fract_x
_atom_site_fract_y
_atom_site_fract_z
Sm1 0.000 0.000 0.000
Cd1 0.000 0.255 0.500
Cd2 0.250 0.250 0.250
Hg1 0.000 0.000 0.333
Hg2 0.000 0.349 0.000
Hg3 0.000 0.500 0.327
```


6.
Below is a geometry-optimized Cu2HPd2 structure, with properties calculated at the PBE level.

Its volume is 124 Å³ per cell. The density comes out at 9.099 g/cm³. The uncorrected energy is -0.3188 Ry per atom.

```
data_Cu2HPd2
_chemical_formula_sum 'Cu4 H2 Pd4'
_space_group_name_H-M_alt 'P 4/m b m'
_space_group_IT_number 127
_space_group_name_Hall '-P 4 2ab'
_cell_length_a 5.300
_cell_length_b 5.300
_cell_length_c 4.430
_cell_angle_alpha 90.00
_cell_angle_beta 90.00
_cell_angle_gamma 90.00
loop_
_atom_site_label
_atom_site_fract_x
_atom_site_fract_y
_atom_site_fract_z
Cu1 0.159 0.341 0.000
H1 0.000 0.000 0.500
Pd1 0.177 0.677 0.500
```


7.
Below is a geometry-optimized BiPbS2 structure, with properties calculated at the PBE level.

Its volume is 372 Å³ per cell. Its uncorrected formation energy is -0.556 eV per formula unit. The density comes out at 8.576 g/cm³.

```
data_BiPbS2
_chemical_formula_sum 'Bi4 Pb4 S8'
_space_group_name_H-M_alt 'F m -3 m'
_space_group_IT_number 225
_space_group_name_Hall '-F 4 2 3'
_cell_length_a 7.192
_cell_length_b 7.192
_cell_length_c 7.192
_cell_angle_alpha 90.00
_cell_angle_beta 90.00
_cell_angle_gamma 90.00
loop_
_atom_site_label
_atom_site_fract_x
_atom_site_fract_y
_atom_site_fract_z
Bi1 0.000 0.000 0.000
Pb1 0.000 0.000 0.500
S1 0.250 0.250 0.250
```


8.
Below is a geometry-optimized Cs2TlWBr6 structure, with properties calculated at the PBE level.

Its volume is 1559 Å³ per cell. Its uncorrected formation energy is -10.067 eV per formula unit. The density comes out at 4.828 g/cm³.

```
data_Cs2TlWBr6
_chemical_formula_sum 'Cs8 Tl4 W4 Br24'
_space_group_name_H-M_alt 'F m -3 m'
_space_group_IT_number 225
_space_group_name_Hall '-F 4 2 3'
_cell_length_a 11.596
_cell_length_b 11.596
_cell_length_c 11.596
_cell_angle_alpha 90.00
_cell_angle_beta 90.00
_cell_angle_gamma 90.00
loop_
_atom_site_label
_atom_site_fract_x
_atom_site_fract_y
_atom_site_fract_z
Cs1 0.250 0.250 0.250
Tl1 0.000 0.000 0.000
W1 0.000 0.000 0.500
Br1 0.000 0.000 0.275
```